## POsSCl2 (GGA-PBE)

Data for a geometry-optimized POsSCl2 structure.

Lattice parameters (Å, degrees): 4.7118 4.7118 4.6246 90.00 90.00 90.00
Closest atoms and distances in Å follow each position.
Space group P4/mmm (No. 123)
Inequivalent atoms, fractional coordinates:
1 P 0.0000 0.0000 0.0000 [1 per cell]  2 Os 2.31
2 Os 0.0000 0.0000 0.5000 [1 per cell]  2 P 2.31, 4 Cl 2.36
3 S 0.5000 0.5000 0.0000 [1 per cell]  8 Cl 3.30, 4 P 3.33
4 Cl 0.0000 0.5000 0.5000 [2 per cell]  2 Os 2.36

Calculated values
Its offset from the most stable computed form is 0.000 eV/atom. For the density of states at the Fermi level, the calculation gives 5.29 states/eV/cell. Its energy relative to the elements, uncorrected is 726 meV/atom. The total energy comes out at -4.166 eV/atom.